Record 1
Density functional theory data (PBE) for an optimized crystal structure of Cs2KHg7Pt2.

Calculated values
final energy: -1.6874 eV per atom
space group: C2/m (12)
energy of formation: -0.27 eV per atom
magnetic moment: 0.00 μB per cell

abc: 5.416 5.416 15.297
angles: 100.18 100.18 89.92
Positions (direct):
Cs  0.181  0.181  0.366
Cs  0.819  0.819  0.634
K  0.000  0.000  0.000
Hg  0.088  0.588  0.180
Hg  0.317  0.317  0.630
Hg  0.412  0.912  0.820
Hg  0.500  0.500  0.000
Hg  0.588  0.088  0.180
Hg  0.683  0.683  0.370
Hg  0.912  0.412  0.820
Pt  0.411  0.411  0.817
Pt  0.589  0.589  0.183

=====

Record 2
Density functional theory data (PBE) for an optimized crystal structure of BaP2BrCl.

Calculated values
final energy: -2.8155 eV per atom
space group: P4/mmm (123)
uncorrected formation energy: 0.437 eV per atom
magnetic moment: 4.92 μB per cell
relative energy among the computed polymorphs: 519 meV/atom

abc: 6.678 6.678 5.783
angles: 90.00 90.00 90.00
Positions (direct):
Ba  0.000  0.000  0.000
P  0.000  0.500  0.000
P  0.500  0.000  0.000
Br  0.500  0.500  0.500
Cl  0.000  0.000  0.500